Record 1
Computed, not measured: a relaxed structure of TbLu2Os at the PBE-GGA level of DFT.

Energy relative to the elements ... -0.8 eV/f.u.
Volume ... 25.2 Å³ per atom
VASP energy ... -25.7 eV for the cell shown
Energy above the lowest structure with this stoichiometry ... 0 meV/atom

Lattice parameters (Å, degrees): 3.3551 3.3551 8.9535 90.00 90.00 90.00
Fractional positions:
Os  0.5000  0.5000  0.0000
Lu  0.0000  0.0000  0.8200
Lu  0.0000  0.0000  0.1800
Tb  0.5000  0.5000  0.5000

=====

Record 2
Computed, not measured: a relaxed structure of TbLuOs at the PBE-GGA level of DFT.

Energy relative to the elements ... -0.7 eV/f.u.
Volume ... 25.1 Å³ per atom
VASP energy ... -21.1 eV for the cell shown
Energy above the lowest structure with this stoichiometry ... 33 meV/atom

Lattice parameters (Å, degrees): 4.7429 4.7429 4.7429 60.00 60.00 60.00
Fractional positions:
Tb  0.5000  0.5000  0.5000
Lu  0.0000  0.0000  0.0000
Os  0.2500  0.2500  0.2500

=====

Record 3
Computed, not measured: a relaxed structure of TbLu2Os at the PBE-GGA level of DFT.

Energy relative to the elements ... 0.8 eV/f.u.
Volume ... 26.3 Å³ per atom
VASP energy ... -24.1 eV for the cell shown
Energy above the lowest structure with this stoichiometry ... 411 meV/atom

Lattice parameters (Å, degrees): 3.3504 3.3504 10.9750 81.22 81.22 60.00
Fractional positions:
Tb  0.0000  0.0000  0.0000
Lu  0.1049  0.1049  0.6854
Lu  0.8951  0.8951  0.3146
Os  0.5000  0.5000  0.5000

=====

Record 4
Computed, not measured: a relaxed structure of TbLuZnOs at the PBE-GGA level of DFT.

Energy relative to the elements ... -1.2 eV/f.u.
Volume ... 20.4 Å³ per atom
VASP energy ... -22.9 eV for the cell shown

Lattice parameters (Å, degrees): 4.8684 4.8684 4.8684 60.00 60.00 60.00
Fractional positions:
Tb  0.5000  0.5000  0.5000
Zn  0.2500  0.2500  0.2500
Lu  0.0000  0.0000  0.0000
Os  0.7500  0.7500  0.7500

=====

Record 5
Computed, not measured: a relaxed structure of LuUTcOs at the PBE-GGA level of DFT.

Energy relative to the elements ... -0.5 eV/f.u.
Volume ... 19.2 Å³ per atom
VASP energy ... -37.9 eV for the cell shown

Lattice parameters (Å, degrees): 4.7679 4.7679 4.7679 60.00 60.00 60.00
Each line ends with the local moment (μB).
Fractional positions:
Os  0.0000  0.0000  0.0000  -0.09
Lu  0.7500  0.7500  0.7500  0.00
U  0.2500  0.2500  0.2500  1.29
Tc  0.5000  0.5000  0.5000  -0.15

=====

Record 6
Computed, not measured: a relaxed structure of LuVTcOs at the PBE-GGA level of DFT.

Energy relative to the elements ... -0.5 eV/f.u.
Volume ... 16.0 Å³ per atom
VASP energy ... -35.7 eV for the cell shown

Lattice parameters (Å, degrees): 4.4878 4.4878 4.4878 60.00 60.00 60.00
Fractional positions:
Lu  0.5000  0.5000  0.5000
Os  0.2500  0.2500  0.2500
Tc  0.7500  0.7500  0.7500
V  0.0000  0.0000  0.0000

=====

Record 7
Computed, not measured: a relaxed structure of Lu2TeOs at the PBE-GGA level of DFT.

Volume ... 22.5 Å³ per atom
VASP energy ... -25.9 eV for the cell shown
Energy relative to the elements, uncorrected ... -2.5 eV per formula unit

Lattice parameters (Å, degrees): 3.4866 3.4866 7.4035 90.00 90.00 90.00
Fractional positions:
Te  0.5000  0.5000  0.5000
Lu  0.0000  0.0000  0.7829
Lu  0.0000  0.0000  0.2171
Os  0.5000  0.5000  0.0000

=====

Record 8
Computed, not measured: a relaxed structure of Lu2ThOs at the PBE-GGA level of DFT.

Energy relative to the elements ... -0.7 eV/f.u.
Volume ... 25.1 Å³ per atom
VASP energy ... -28.4 eV for the cell shown

Lattice parameters (Å, degrees): 3.3872 3.3872 8.7501 90.00 90.00 90.00
Fractional positions:
Lu  0.0000  0.0000  0.8177
Lu  0.0000  0.0000  0.1823
Os  0.5000  0.5000  0.0000
Th  0.5000  0.5000  0.5000

=====

Record 9
Computed, not measured: a relaxed structure of LuTh2Os at the PBE-GGA level of DFT.

Energy relative to the elements ... 0.0 eV/f.u.
Volume ... 27.0 Å³ per atom
VASP energy ... -30.6 eV for the cell shown
Energy above the lowest structure with this stoichiometry ... 0 meV/atom

Lattice parameters (Å, degrees): 3.6662 3.6662 8.0228 90.00 90.00 90.00
Fractional positions:
Lu  0.5000  0.5000  0.5000
Os  0.5000  0.5000  0.0000
Th  0.0000  0.0000  0.7961
Th  0.0000  0.0000  0.2039

=====

Record 10
Computed, not measured: a relaxed structure of LuThOs4 at the PBE-GGA level of DFT.

Energy relative to the elements ... -1.6 eV/f.u.
Volume ... 18.5 Å³ per atom
VASP energy ... -58.5 eV for the cell shown

Lattice parameters (Å, degrees): 5.3957 5.3957 5.3957 60.00 60.00 60.00
Fractional positions:
Lu  0.0000  0.0000  0.0000
Os  0.6254  0.6254  0.1238
Os  0.6254  0.1238  0.6254
Os  0.6254  0.6254  0.6254
Os  0.1238  0.6254  0.6254
Th  0.2500  0.2500  0.2500

=====

Record 11
Computed, not measured: a relaxed structure of LuTh2Os at the PBE-GGA level of DFT.

Energy relative to the elements ... 0.9 eV/f.u.
Volume ... 34.0 Å³ per atom
VASP energy ... -29.7 eV for the cell shown
Energy above the lowest structure with this stoichiometry ... 217 meV/atom

Lattice parameters (Å, degrees): 3.9156 3.9156 10.5028 79.26 79.26 60.00
Fractional positions:
Lu  0.0000  0.0000  0.0000
Os  0.5000  0.5000  0.5000
Th  0.1132  0.1132  0.6604
Th  0.8868  0.8868  0.3396

=====

Record 12
Computed, not measured: a relaxed structure of LuThOs2 at the PBE-GGA level of DFT.

Energy relative to the elements ... -0.9 eV/f.u.
Volume ... 20.7 Å³ per atom
VASP energy ... -35.3 eV for the cell shown

Lattice parameters (Å, degrees): 3.4697 4.8841 4.8841 90.00 90.00 90.00
Fractional positions:
Lu  0.5000  0.0000  0.0000
Os  0.0000  0.0000  0.5000
Os  0.0000  0.5000  0.0000
Th  0.5000  0.5000  0.5000

=====

Record 13
Computed, not measured: a relaxed structure of LuThOs at the PBE-GGA level of DFT.

Energy relative to the elements ... -0.6 eV/f.u.
Volume ... 25.3 Å³ per atom
VASP energy ... -23.7 eV for the cell shown
Energy above the lowest structure with this stoichiometry ... 71 meV/atom

Lattice parameters (Å, degrees): 3.3853 3.3853 7.0367 103.92 103.92 90.00
Fractional positions:
Lu  0.2957  0.2957  0.5913
Os  0.6700  0.6700  0.3400
Th  0.0344  0.0344  0.0687

=====

Record 14
Computed, not measured: a relaxed structure of LuThZnOs at the PBE-GGA level of DFT.

Energy relative to the elements ... -1.2 eV/f.u.
Volume ... 21.8 Å³ per atom
VASP energy ... -25.6 eV for the cell shown

Lattice parameters (Å, degrees): 4.9769 4.9769 4.9769 60.00 60.00 60.00
Fractional positions:
Zn  0.0000  0.0000  0.0000
Lu  0.2500  0.2500  0.2500
Os  0.5000  0.5000  0.5000
Th  0.7500  0.7500  0.7500

=====

Record 15
Computed, not measured: a relaxed structure of LuTiOs2 at the PBE-GGA level of DFT.

Energy relative to the elements ... -1.8 eV/f.u.
Volume ... 16.7 Å³ per atom
VASP energy ... -36.6 eV for the cell shown
Energy above the lowest structure with this stoichiometry ... 0 meV/atom

Lattice parameters (Å, degrees): 3.1810 3.1810 6.5854 90.00 90.00 90.00
Fractional positions:
Lu  0.5000  0.5000  0.5000
Os  0.0000  0.0000  0.7760
Os  0.0000  0.0000  0.2240
Ti  0.5000  0.5000  0.0000

=====

Record 16
Computed, not measured: a relaxed structure of LuTiOs2 at the PBE-GGA level of DFT.

Energy relative to the elements ... -1.4 eV/f.u.
Volume ... 16.6 Å³ per atom
VASP energy ... -36.3 eV for the cell shown
Energy above the lowest structure with this stoichiometry ... 88 meV/atom

Lattice parameters (Å, degrees): 3.2226 4.5393 4.5393 90.00 90.00 90.00
Fractional positions:
Lu  0.5000  0.5000  0.5000
Os  0.0000  0.0000  0.5000
Os  0.0000  0.5000  0.0000
Ti  0.5000  0.0000  0.0000